# 1
## YSc2Pt (PBE)

Data for crystalline YSc2Pt at its relaxed geometry.

abc: 4.1386 4.1386 10.3673
angles: 90.00 90.00 90.00
Fractional positions:
Y: 0.0000 0.0000 0.0000
Y: 0.5000 0.5000 0.5000
Sc: 0.0000 0.5000 0.2500
Sc: 0.0000 0.5000 0.7500
Sc: 0.5000 0.0000 0.2500
Sc: 0.5000 0.0000 0.7500
Pt: 0.0000 0.0000 0.5000
Pt: 0.5000 0.5000 0.0000

Polymorph energy (0 for the lowest one) = 268 meV per atom
Formation enthalpy at 0 K = -0.4379 eV/atom
Mass density = 6.99 g cm⁻³

# 2
## Tl6PdI10 (PBE)

Data for crystalline Tl6PdI10 at its relaxed geometry.

abc: 9.8057 9.8057 8.4779
angles: 90.00 90.00 120.00
Fractional positions:
Tl: 0.0000 0.4225 0.2634
Tl: 0.0000 0.5775 0.7366
Tl: 0.4225 0.0000 0.2634
Tl: 0.4225 0.4225 0.7366
Tl: 0.5775 0.0000 0.7366
Tl: 0.5775 0.5775 0.2634
Pd: 0.0000 0.0000 0.5000
I: 0.0000 0.2213 0.6939
I: 0.0000 0.7787 0.3061
I: 0.2213 0.0000 0.6939
I: 0.2213 0.2213 0.3061
I: 0.3333 0.6667 0.0000
I: 0.3333 0.6667 0.5000
I: 0.6667 0.3333 0.0000
I: 0.6667 0.3333 0.5000
I: 0.7787 0.0000 0.3061
I: 0.7787 0.7787 0.6939

Formation energy without anion corrections = -0.4471 eV/atom
Mass density = 6.12 g cm⁻³

# 3
## Co2NiPb (PBE)

Data for crystalline Co2NiPb at its relaxed geometry.

abc: 3.7564 3.7564 17.8838
angles: 90.00 90.00 90.00
Fractional positions:
Co: 0.1720 0.2500 0.1250
Co: 0.2500 0.6720 0.3750
Co: 0.2500 0.8280 0.8750
Co: 0.3280 0.2500 0.6250
Co: 0.6720 0.7500 0.6250
Co: 0.7500 0.1720 0.8750
Co: 0.7500 0.3280 0.3750
Co: 0.8280 0.7500 0.1250
Ni: 0.0000 0.0000 0.0000
Ni: 0.0000 0.5000 0.2500
Ni: 0.5000 0.0000 0.7500
Ni: 0.5000 0.5000 0.5000
Pb: 0.0000 0.0000 0.5000
Pb: 0.0000 0.5000 0.7500
Pb: 0.5000 0.0000 0.2500
Pb: 0.5000 0.5000 0.0000

Formation enthalpy at 0 K = 0.5857 eV/atom
Mass density = 10.10 g cm⁻³

# 4
## CePd3 (PBE)

Data for crystalline CePd3 at its relaxed geometry.

abc: 4.1542 4.1542 8.4340
angles: 90.00 90.00 90.00
Fractional positions:
Ce: 0.0000 0.0000 0.0000
Ce: 0.5000 0.5000 0.5000
Pd: 0.0000 0.0000 0.5000
Pd: 0.0000 0.5000 0.2500
Pd: 0.0000 0.5000 0.7500
Pd: 0.5000 0.0000 0.2500
Pd: 0.5000 0.0000 0.7500
Pd: 0.5000 0.5000 0.0000

Formation enthalpy at 0 K = -0.7331 eV/atom
Mass density = 10.48 g cm⁻³